# Zr2Sb2Os (PBE-GGA, optimized geometry)
data_Zr2Sb2Os
_chemical_formula_sum 'Zr4 Sb4 Os2'
_symmetry_space_group_name_H-M 'P 1'
_symmetry_Int_Tables_number 1
_cell_length_a 6.7740
_cell_length_b 6.7740
_cell_length_c 4.6174
_cell_angle_alpha 90.00
_cell_angle_beta 90.00
_cell_angle_gamma 90.00
loop_
_symmetry_equiv_pos_as_xyz
'x,y,z'
loop_
_atom_site_label
_atom_site_fract_x
_atom_site_fract_y
_atom_site_fract_z
Sb1 0.3520 0.8520 0.0000
Sb2 0.8520 0.6480 0.0000
Sb3 0.6480 0.1480 0.0000
Sb4 0.1480 0.3520 0.0000
Os1 0.0000 0.0000 0.0000
Os2 0.5000 0.5000 0.0000
Zr1 0.1584 0.6584 0.5000
Zr2 0.6584 0.8416 0.5000
Zr3 0.8416 0.3416 0.5000
Zr4 0.3416 0.1584 0.5000
# - Energy above the most stable polymorph in this dataset: 0 meV per atom
# - Theoretical density: 9.7 g/cm3
# - SG: P4/mbm (127)


# ZrSbOs2 (PBE-GGA, optimized geometry)
data_ZrSbOs2
_chemical_formula_sum 'Zr2 Sb2 Os4'
_symmetry_space_group_name_H-M 'P 1'
_symmetry_Int_Tables_number 1
_cell_length_a 4.1500
_cell_length_b 4.1500
_cell_length_c 9.7288
_cell_angle_alpha 77.69
_cell_angle_beta 77.69
_cell_angle_gamma 90.00
loop_
_symmetry_equiv_pos_as_xyz
'x,y,z'
loop_
_atom_site_label
_atom_site_fract_x
_atom_site_fract_y
_atom_site_fract_z
Sb1 0.0000 0.0000 0.0000
Sb2 0.7500 0.2500 0.5000
Os1 0.6869 0.1250 0.2500
Os2 0.0631 0.6250 0.2500
Os3 0.3750 0.3131 0.7500
Os4 0.8750 0.9369 0.7500
Zr1 0.5000 0.5000 0.0000
Zr2 0.2500 0.7500 0.5000
# - Theoretical density: 12.3 g/cm3
# - Calculated total energy: -66.2 eV for the cell shown
# - SG: I-42d (122)


# ZrSbOs2 (PBE-GGA, optimized geometry)
data_ZrSbOs2
_chemical_formula_sum 'Zr1 Sb1 Os2'
_symmetry_space_group_name_H-M 'P 1'
_symmetry_Int_Tables_number 1
_cell_length_a 8.7000
_cell_length_b 8.7000
_cell_length_c 8.7000
_cell_angle_alpha 20.91
_cell_angle_beta 20.91
_cell_angle_gamma 20.91
loop_
_symmetry_equiv_pos_as_xyz
'x,y,z'
loop_
_atom_site_label
_atom_site_fract_x
_atom_site_fract_y
_atom_site_fract_z
Os1 0.9990 0.9990 0.9990
Os2 0.5010 0.5010 0.5010
Sb1 0.7500 0.7500 0.7500
Zr1 0.2500 0.2500 0.2500
# - Theoretical density: 13.4 g/cm3
# - Calculated total energy: -33.8 eV for the cell shown
# - SG: R-3m (166)


# Zr2SbOs (PBE-GGA, optimized geometry)
data_Zr2SbOs
_chemical_formula_sum 'Zr2 Sb1 Os1'
_symmetry_space_group_name_H-M 'P 1'
_symmetry_Int_Tables_number 1
_cell_length_a 3.8536
_cell_length_b 3.8536
_cell_length_c 6.0101
_cell_angle_alpha 90.00
_cell_angle_beta 90.00
_cell_angle_gamma 90.00
loop_
_symmetry_equiv_pos_as_xyz
'x,y,z'
loop_
_atom_site_label
_atom_site_fract_x
_atom_site_fract_y
_atom_site_fract_z
Os1 0.0000 0.0000 0.4049
Sb1 0.5000 0.5000 0.7963
Zr1 0.0000 0.0000 0.9878
Zr2 0.5000 0.5000 0.3110
# - Theoretical density: 9.2 g/cm3
# - Calculated total energy: -33.2 eV for the cell shown
# - SG: P4mm (99)


# ZrSbOs2 (PBE-GGA, optimized geometry)
data_ZrSbOs2
_chemical_formula_sum 'Zr1 Sb1 Os2'
_symmetry_space_group_name_H-M 'P 1'
_symmetry_Int_Tables_number 1
_cell_length_a 9.5293
_cell_length_b 9.5293
_cell_length_c 9.5293
_cell_angle_alpha 18.02
_cell_angle_beta 18.02
_cell_angle_gamma 18.02
loop_
_symmetry_equiv_pos_as_xyz
'x,y,z'
loop_
_atom_site_label
_atom_site_fract_x
_atom_site_fract_y
_atom_site_fract_z
Os1 0.0071 0.0071 0.0071
Os2 0.7452 0.7452 0.7452
Sb1 0.4945 0.4945 0.4945
Zr1 0.2532 0.2532 0.2532
# - Theoretical density: 13.6 g/cm3
# - Calculated total energy: -33.6 eV for the cell shown
# - SG: R3m (160)


# ZrSbOs2 (PBE-GGA, optimized geometry)
data_ZrSbOs2
_chemical_formula_sum 'Zr1 Sb1 Os2'
_symmetry_space_group_name_H-M 'P 1'
_symmetry_Int_Tables_number 1
_cell_length_a 4.6497
_cell_length_b 4.6497
_cell_length_c 3.2560
_cell_angle_alpha 90.00
_cell_angle_beta 90.00
_cell_angle_gamma 96.27
loop_
_symmetry_equiv_pos_as_xyz
'x,y,z'
loop_
_atom_site_label
_atom_site_fract_x
_atom_site_fract_y
_atom_site_fract_z
Os1 0.0000 0.0000 0.0000
Os2 0.5000 0.5000 0.0000
Sb1 0.5000 0.0000 0.5000
Zr1 0.0000 0.5000 0.5000
# - Theoretical density: 14.1 g/cm3
# - Calculated total energy: -35.0 eV for the cell shown
# - SG: Cmmm (65)


no.,spin magnetization (μB/atom)
1,0.00
2,0.00
3,0.00
4,0.00
5,0.00
6,0.00